Entry from Alexandria: a geometry-optimized HfAsNF2 structure (GGA-PBE).

Cell lengths 3.8465, 3.8465, 5.2349 Å; angles 90.00, 90.00, 90.00 degrees
Closest atoms and distances in Å follow each position.
Positions (direct):
1 Hf 0.0000 0.0000 0.0000  4 N 2.72
2 As 0.5000 0.5000 0.5000  4 F 1.92
3 N 0.5000 0.5000 0.0000  2 As 2.62, 4 Hf 2.72
4 F 0.0000 0.5000 0.5000  2 As 1.92
5 F 0.5000 0.0000 0.5000  2 As 1.92

Results
- Magnetic moment: 1.2 μB/f.u.
- E_tot: -5.479 eV/atom
- Formation energy without anion corrections: -0.145 eV/atom
- Crystal system: tetragonal
- Space-group type: P4/mmm